Crystalline ZnCuAg2F8 at its relaxed geometry, computed with PBE-GGA.

Results
Uncorrected formation energy: -1.39 eV/atom

Cell: 6.1695 6.1695 6.1695 Å, 117.40 117.40 94.56°
Each line ends with the local moment (μB).
Sites, in units of the cell vectors:
1 F 0.3128 0.0292 0.2835  0.00
2 Ag 0.5000 0.5000 0.0000  0.36
3 Ag 0.7500 0.2500 0.5000  0.02
4 F 0.4958 0.7025 0.7932  0.09
5 Zn 0.2500 0.7500 0.5000  0.06
6 F 0.7457 0.0292 0.7165  0.00
7 F 0.9093 0.7025 0.2068  0.09
8 F 0.9708 0.6872 0.7165  0.00
9 F 0.2975 0.5042 0.2068  0.09
10 F 0.2975 0.0907 0.7932  0.09
11 F 0.9708 0.2543 0.2835  0.00
12 Cu 0.0000 0.0000 0.0000  0.00